# Pu2MnPb | the Alexandria database | PBE-GGA | optimized geometry
# spin magnetization	15.01	μB/cell
# raw total energy	-10.18	eV/atom
# excess energy over the best structure of this formula in the dataset	0.248	eV/atom
# formation enthalpy at 0 K	0.204	eV per atom
data_Pu2MnPb
_chemical_formula_sum 'Pu2 Mn1 Pb1'
_symmetry_space_group_name_H-M 'P 4/m m m'
_symmetry_Int_Tables_number 123
_symmetry_space_group_name_Hall '-P 4 2'
_cell_length_a 4.300
_cell_length_b 4.300
_cell_length_c 5.067
_cell_angle_alpha 90.00
_cell_angle_beta 90.00
_cell_angle_gamma 90.00
loop_
_atom_site_label
_atom_site_fract_x
_atom_site_fract_y
_atom_site_fract_z
Pu1 0.000 0.500 0.000
Mn1 0.000 0.000 0.500
Pb1 0.500 0.500 0.500